Computed, not measured: an optimized crystal structure of Rb2SiI at the GGA-PBE level of DFT.

Output
The value obtained for the formation energy from raw total energies is -0.17 eV/atom. As for the space-group type: Fm-3m, No. 225.

a b c (Å): 6.305 6.305 6.305
angles (deg): 60.00 60.00 60.00
Fractional coordinates of all 4 atoms:
Rb: 0.250 0.250 0.250
Rb: 0.750 0.750 0.750
Si: 0.000 0.000 0.000
I: 0.500 0.500 0.500